# 1
MgGaPb2Au6: relaxed, PBE.

Results
VASP energy = -3.342 eV per atom
Crystal system = triclinic
DFT formation energy = -0.17 eV per atom
Spin magnetization = 0.00 μB/f.u.

a b c (Å): 4.6863 7.0111 7.2949
angles (deg): 75.70 71.54 70.50
Space group P-1 (No. 2)
Asymmetric unit:
Mg 0.0000 0.0000 0.0000
Ga 0.5000 0.5000 0.5000
Pb 0.2534 0.3631 0.1382
Au 0.0547 0.2898 0.6062
Au 0.2494 0.8528 0.6374
Au 0.4471 0.8975 0.2050

---

# 2
Sc2Pa2SiIr4: relaxed, PBE.

Results
VASP energy = -8.582 eV per atom
Uncorrected formation energy = -524.3 meV per atom
Crystal system = tetragonal
Spin magnetization = 0.00 μB/f.u.

a b c (Å): 6.3938 6.3938 8.3954
angles (deg): 90.00 90.00 90.00
Space group I4/mmm (No. 139)
Asymmetric unit:
Sc 0.0000 0.0000 0.1925
Pa 0.0000 0.5000 0.2500
Si 0.0000 0.0000 0.5000
Ir 0.2421 0.2421 0.0000

---

# 3
RbMgTl2Ir: relaxed, PBE.

Results
VASP energy = -3.289 eV per atom
Crystal system = tetragonal
DFT formation energy = -0.06 eV per atom
Spin magnetization = 0.00 μB/f.u.

a b c (Å): 5.3551 5.3551 5.2324
angles (deg): 90.00 90.00 90.00
Space group P4/mmm (No. 123)
Asymmetric unit:
Rb 0.0000 0.0000 0.0000
Mg 0.5000 0.5000 0.0000
Tl 0.0000 0.5000 0.5000
Ir 0.5000 0.5000 0.5000

---

# 4
La4TcCl2O: relaxed, PBE.

Results
VASP energy = -6.292 eV per atom
Uncorrected formation energy = -1451.0 meV per atom
Crystal system = monoclinic
Spin magnetization = 0.00 μB/f.u.

a b c (Å): 6.7121 3.9996 7.8332
angles (deg): 90.00 105.94 90.00
Space group P2/m (No. 10)
Asymmetric unit:
La 0.2249 0.0000 0.2956
La 0.2325 0.5000 0.6953
Tc 0.5000 0.5000 0.5000
Cl 0.0000 0.5000 0.0000
Cl 0.5000 0.0000 0.0000
O 0.0000 0.0000 0.5000

---

# 5
ScIn3F: relaxed, PBE.

Results
VASP energy = -3.853 eV per atom
Uncorrected formation energy = -569.5 meV per atom
Offset from the most stable computed form = 0.0 meV/atom
Crystal system = cubic
Spin magnetization = 0.00 μB/f.u.

a b c (Å): 4.8571 4.8571 4.8571
angles (deg): 90.00 90.00 90.00
Space group Pm-3m (No. 221)
Asymmetric unit:
Sc 0.0000 0.0000 0.0000
In 0.0000 0.5000 0.5000
F 0.5000 0.5000 0.5000

---

# 6
Tb2GeBr3: relaxed, PBE.

Results
VASP energy = -4.527 eV per atom
Uncorrected formation energy = -1378.0 meV per atom
Crystal system = monoclinic
Spin magnetization = 0.00 μB/f.u.

a b c (Å): 18.8497 4.0866 12.8291
angles (deg): 90.00 129.08 90.00
Space group C2/m (No. 12)
Asymmetric unit:
Tb 0.1122 0.0000 0.4409
Tb 0.1268 0.5000 0.8200
Ge 0.0628 0.0000 0.6226
Br 0.0465 0.5000 0.2311
Br 0.1751 0.0000 0.0256
Br 0.2435 0.5000 0.6148

---

# 7
PmHoTcHg: relaxed, PBE.

Results
VASP energy = -5.105 eV per atom
Crystal system = cubic
DFT formation energy = -0.11 eV per atom
Spin magnetization = 0.00 μB/f.u.

a b c (Å): 7.2000 7.2000 7.2000
angles (deg): 90.00 90.00 90.00
Space group F-43m (No. 216)
Asymmetric unit:
Pm 0.0000 0.0000 0.0000
Ho 0.0000 0.0000 0.5000
Tc 0.2500 0.2500 0.7500
Hg 0.2500 0.2500 0.2500

---

# 8
Pa3TaGa12: relaxed, PBE.

Results
VASP energy = -5.093 eV per atom
Crystal system = tetragonal
DFT formation energy = -0.30 eV per atom
Spin magnetization = 0.00 μB/f.u.

a b c (Å): 4.2502 4.2502 16.7780
angles (deg): 90.00 90.00 90.00
Space group P4/mmm (No. 123)
Asymmetric unit:
Pa 0.0000 0.0000 0.0000
Pa 0.0000 0.0000 0.2603
Ta 0.0000 0.0000 0.5000
Ga 0.0000 0.5000 0.1299
Ga 0.0000 0.5000 0.3866
Ga 0.5000 0.5000 0.0000
Ga 0.5000 0.5000 0.2543
Ga 0.5000 0.5000 0.5000

---

Which formula does entry 8 have? Pa3TaGa12